A geometry-optimized Dy3Ho2Zn2 structure. Source: the Alexandria database, functional PBE.

CIF file:
```
data_Dy3Ho2Zn2
_chemical_formula_sum 'Dy6 Ho4 Zn4'
_cell_length_a 12.8580
_cell_length_b 3.6593
_cell_length_c 8.9845
_cell_angle_alpha 90.00
_cell_angle_beta 115.77
_cell_angle_gamma 90.00
_space_group_name_H-M_alt 'C 1 2/m 1'
_space_group_IT_number 12
loop_
_space_group_symop_operation_xyz
'x,y,z'
'-x,-y,-z'
'-x,y,-z'
'x,-y,z'
'x+1/2,y+1/2,z'
'-x+1/2,-y+1/2,-z'
'-x+1/2,y+1/2,-z'
'x+1/2,-y+1/2,z'
loop_
_atom_site_label
_atom_site_type_symbol
_atom_site_fract_x
_atom_site_fract_y
_atom_site_fract_z
Dy1 Dy 0.0000 0.0000 0.0000
Dy2 Dy 0.1108 0.0000 0.4416
Ho1 Ho 0.1482 0.5000 0.8115
Zn1 Zn 0.1795 0.5000 0.2236
```

Computed properties:
Crystal system   monoclinic
E   -53.15 eV for the cell shown
Spin magnetization   0.000 μB per formula unit